First-principles (PBE) data for a geometry-optimized Pr2Zn5Pt structure, as listed in the Alexandria database.

The calculation puts the total magnetic moment at 0.0 μB per cell. The value obtained for the volume is 20.223 A^3/atom. For the density of states at the Fermi level, the calculation gives 19.2 states/eV/cell. The value obtained for the total energy is -3.2409 eV per atom.

The structure belongs to space group Cmcm (No. 63); the cell edges are 4.320, 16.500 and 9.079 Å and the angles 90.00°, 90.00° and 90.00°. The asymmetric unit holds Pr at (0.000, 0.000, 0.000), Pr at (0.000, 0.191, 0.250), Zn at (0.000, 0.189, 0.610), Zn at (0.000, 0.348, 0.519), Zn at (0.000, 0.398, 0.250) and Pt at (0.000, 0.446, 0.750).

=====

First-principles (PBE) data for a geometry-optimized Sr2HfAu2 structure, as listed in the Alexandria database.

The calculation puts the total magnetic moment at 0.0 μB per cell. The value obtained for the volume is 27.945 A^3/atom. For the density of states at the Fermi level, the calculation gives 2.9 states/eV/cell. The value obtained for the total energy is -4.3232 eV per atom.

The structure belongs to space group P4/mbm (No. 127); the cell edges are 7.415, 7.415 and 5.083 Å and the angles 90.00°, 90.00° and 90.00°. The asymmetric unit holds Sr at (0.172, 0.328, 0.000), Hf at (0.000, 0.000, 0.500) and Au at (0.142, 0.642, 0.500).

=====

First-principles (PBE) data for a geometry-optimized Cs2In2As2S structure, as listed in the Alexandria database.

The calculation puts the total magnetic moment at 0.0 μB per cell. The value obtained for the volume is 36.634 A^3/atom. For the density of states at the Fermi level, the calculation gives 2.8 states/eV/cell. The value obtained for the total energy is -3.3687 eV per atom.

The structure belongs to space group C2/m (No. 12); the cell edges are 16.925, 4.414 and 7.188 Å and the angles 90.00°, 107.26° and 90.00°. The asymmetric unit holds Cs at (0.127, 0.000, 0.313), In at (0.098, 0.500, 0.776), As at (0.235, 0.000, 0.899) and S at (0.000, 0.500, 0.000).

=====

First-principles (PBE) data for a geometry-optimized AlSb structure, as listed in the Alexandria database.

The calculation puts the total magnetic moment at 0.0 μB per cell. The value obtained for the volume is 26.252 A^3/atom. For the density of states at the Fermi level, the calculation gives 4.5 states/eV/cell. The value obtained for the total energy is -3.7607 eV per atom.

The structure belongs to space group Cmcm (No. 63); the cell edges are 5.487, 7.004 and 5.464 Å and the angles 90.00°, 90.00° and 90.00°. The asymmetric unit holds Al at (0.000, 0.014, 0.250) and Sb at (0.000, 0.408, 0.250).

=====

First-principles (PBE) data for a geometry-optimized Na2MgMnPd structure, as listed in the Alexandria database.

The calculation puts the total magnetic moment at 4.6 μB per cell. The value obtained for the volume is 28.308 A^3/atom. For the density of states at the Fermi level, the calculation gives 3.5 states/eV/cell. The value obtained for the total energy is -2.9733 eV per atom.

The structure belongs to space group P4/mmm (No. 123); the cell edges are 5.438, 5.438 and 4.787 Å and the angles 90.00°, 90.00° and 90.00°. The asymmetric unit holds Na at (0.000, 0.500, 0.000), Mg at (0.000, 0.000, 0.000), Mn at (0.500, 0.500, 0.500) and Pd at (0.000, 0.000, 0.500).

=====

First-principles (PBE) data for a geometry-optimized SrAsPS2 structure, as listed in the Alexandria database.

The calculation puts the total magnetic moment at 0.5 μB per cell. The value obtained for the volume is 23.153 A^3/atom. For the density of states at the Fermi level, the calculation gives 4.5 states/eV/cell. The value obtained for the total energy is -4.3401 eV per atom.

The structure belongs to space group P4/mmm (No. 123); the cell edges are 4.940, 4.940 and 4.743 Å and the angles 90.00°, 90.00° and 90.00°. The asymmetric unit holds Sr at (0.000, 0.000, 0.000), As at (0.500, 0.500, 0.500), P at (0.500, 0.500, 0.000) and S at (0.000, 0.500, 0.500).

=====

First-principles (PBE) data for a geometry-optimized TbPm2Hg structure, as listed in the Alexandria database.

The calculation puts the total magnetic moment at 0.0 μB per cell. The value obtained for the volume is 33.334 A^3/atom. For the density of states at the Fermi level, the calculation gives 14.1 states/eV/cell. The value obtained for the total energy is -3.5203 eV per atom.

The structure belongs to space group R-3m (No. 166, hexagonal axes); the cell edges are 3.5497, 3.5497 and 36.6555 Å and the angles 90.00°, 90.00° and 120.00°. The asymmetric unit holds Tb at (0.0000, 0.0000, 0.0000), Pm at (0.0000, 0.0000, 0.4116) and Hg at (0.0000, 0.0000, 0.5000).

=====

First-principles (PBE) data for a geometry-optimized ReIrOs4 structure, as listed in the Alexandria database.

The calculation puts the total magnetic moment at 0.0 μB per cell. The value obtained for the volume is 15.008 A^3/atom. For the density of states at the Fermi level, the calculation gives 15.9 states/eV/cell. The value obtained for the total energy is -10.7015 eV per atom.

The structure belongs to space group C2/c (No. 15); the cell edges are 5.284, 14.633 and 4.660 Å and the angles 90.00°, 91.21° and 90.00°. The asymmetric unit holds Re at (0.000, 0.134, 0.250), Ir at (0.000, 0.356, 0.750), Os at (0.233, 0.470, 0.126) and Os at (0.248, 0.299, 0.268).